Crystalline Ba2CoSb at its relaxed geometry. Source: Alexandria, functional PBE.

**DOS(E_F)**: 2.772 states/eV/f.u.
**ΔE_f (raw)**: 70 kJ/mol of formula units
**Space group**: F-43m (216)

Unit cell a=5.4713 b=5.4713 c=5.4713 alpha=60.00 beta=60.00 gamma=60.00
Fractional coordinates of all 4 atoms:
Sb: 0.7500 0.7500 0.7500
Co: 0.5000 0.5000 0.5000
Ba: 0.2500 0.2500 0.2500
Ba: 0.0000 0.0000 0.0000